No. 1
VASP calculation (PBE) on a relaxed structure of YGaSe.

Cell lengths 7.160, 4.142, 12.223 Å; angles 90.00, 100.48, 90.00 degrees
Space group C2/m (No. 12)
Inequivalent atoms, fractional coordinates:
Y: 0.095 0.000 0.270 (multiplicity 4)
Ga: 0.182 0.000 0.547 (multiplicity 4)
Se: 0.106 0.500 0.842 (multiplicity 4)

Summary:
calculated total energy	-5.371	eV per atom
E_form (uncorrected)	-1.05	eV/atom
size of the total moment	0.0000	μB/atom

=====

No. 2
VASP calculation (PBE) on a relaxed structure of Y2GaSe.

Cell lengths 3.913, 5.850, 8.739 Å; angles 90.00, 90.00, 90.00 degrees
Space group Pmmn (No. 59, origin choice 2)
Inequivalent atoms, fractional coordinates:
Y: 0.250 0.250 0.126 (multiplicity 2)
Y: 0.250 0.250 0.636 (multiplicity 2)
Ga: 0.250 0.750 0.622 (multiplicity 2)
Se: 0.250 0.750 0.117 (multiplicity 2)

Summary:
calculated total energy	-6.025	eV per atom
E_form (uncorrected)	-1.16	eV/atom
size of the total moment	0.0000	μB/atom

=====

No. 3
VASP calculation (PBE) on a relaxed structure of Y5GaSe4.

Cell lengths 9.220, 9.220, 5.803 Å; angles 90.00, 90.00, 90.00 degrees
Space group I4/m (No. 87)
Inequivalent atoms, fractional coordinates:
Y: 0.000 0.000 0.000 (multiplicity 2)
Y: 0.097 0.707 0.500 (multiplicity 8)
Ga: 0.000 0.000 0.500 (multiplicity 2)
Se: 0.098 0.698 0.000 (multiplicity 8)

Summary:
calculated total energy	-6.527	eV per atom
E_form (uncorrected)	-1.60	eV/atom
size of the total moment	0.0000	μB/atom